# Rb2CeCu3F12

Crystalline Rb2CeCu3F12 at its relaxed geometry (PBE, Alexandria).

Cell: 7.810 7.810 7.810 Å, 55.95 55.95 55.95°
Positions (direct):
Rb  0.104  0.104  0.104
Rb  0.896  0.896  0.896
Ce  0.500  0.500  0.500
Cu  0.000  0.500  0.500
Cu  0.500  0.000  0.500
Cu  0.500  0.500  0.000
F  0.143  0.601  0.601
F  0.200  0.200  0.596
F  0.200  0.596  0.200
F  0.399  0.399  0.857
F  0.399  0.857  0.399
F  0.404  0.800  0.800
F  0.596  0.200  0.200
F  0.601  0.143  0.601
F  0.601  0.601  0.143
F  0.800  0.404  0.800
F  0.800  0.800  0.404
F  0.857  0.399  0.399

Formation energy (no corrections) in meV/atom: -2429